(1)
A plane-wave DFT calculation with PBE-GGA was carried out for an optimized crystal structure of InCu3Au.

The crystal system is cubic. For the energy above the most stable polymorph in this dataset, the calculation gives 303 kJ/mol of formula units.

The structure belongs to space group Pm-3m (No. 221); the cell edges are 4.812, 4.812 and 4.812 Å and the angles 90.00°, 90.00° and 90.00°. The distinct sites, in fractional coordinates, are In at (0.000, 0.000, 0.000), Cu at (0.000, 0.500, 0.500) and Au at (0.500, 0.500, 0.500).

***

(2)
A plane-wave DFT calculation with PBE-GGA was carried out for an optimized crystal structure of InCu3Au.

The crystal system is monoclinic. For the energy above the most stable polymorph in this dataset, the calculation gives 0 kJ/mol of formula units.

The structure belongs to space group P2_1/c (No. 14); the cell edges are 4.198, 5.565 and 13.631 Å and the angles 90.00°, 107.04° and 90.00°. The distinct sites, in fractional coordinates, are In at (0.116, 0.001, 0.363), Cu at (0.301, 0.239, 0.053), Cu at (0.301, 0.736, 0.553), Cu at (0.500, 0.248, 0.750) and Au at (0.115, 0.501, 0.360).

***

(3)
A plane-wave DFT calculation with PBE-GGA was carried out for an optimized crystal structure of In4CuAu4.

The crystal system is tetragonal.

The structure belongs to space group I-42m (No. 121); the cell edges are 5.924, 5.924 and 11.731 Å and the angles 90.00°, 90.00° and 90.00°. The distinct sites, in fractional coordinates, are In at (0.238, 0.238, 0.363), Cu at (0.000, 0.000, 0.000) and Au at (0.242, 0.242, 0.622).

***

(4)
A plane-wave DFT calculation with PBE-GGA was carried out for an optimized crystal structure of In2Cu2Au.

The crystal system is tetragonal. For the energy above the most stable polymorph in this dataset, the calculation gives 148 kJ/mol of formula units.

The structure belongs to space group I4/mmm (No. 139); the cell edges are 4.180, 4.180 and 11.400 Å and the angles 90.00°, 90.00° and 90.00°. The distinct sites, in fractional coordinates, are In at (0.000, 0.500, 0.250), Cu at (0.000, 0.000, 0.101) and Au at (0.000, 0.000, 0.500).

***

(5)
A plane-wave DFT calculation with PBE-GGA was carried out for an optimized crystal structure of In2Cu2Au.

The crystal system is tetragonal. For the energy above the most stable polymorph in this dataset, the calculation gives 13 kJ/mol of formula units.

The structure belongs to space group I4/mmm (No. 139); the cell edges are 3.428, 3.428 and 15.877 Å and the angles 90.00°, 90.00° and 90.00°. The distinct sites, in fractional coordinates, are In at (0.000, 0.000, 0.110), Cu at (0.000, 0.500, 0.250) and Au at (0.000, 0.000, 0.500).

***

(6)
A plane-wave DFT calculation with PBE-GGA was carried out for an optimized crystal structure of InCuAu3.

The crystal system is orthorhombic. For the energy above the most stable polymorph in this dataset, the calculation gives 14 kJ/mol of formula units.

The structure belongs to space group Pmmn (No. 59, origin choice 2); the cell edges are 4.266, 5.669 and 7.904 Å and the angles 90.00°, 90.00° and 90.00°. The distinct sites, in fractional coordinates, are In at (0.250, 0.250, 0.063), Cu at (0.250, 0.750, 0.372), Au at (0.250, 0.000, 0.755) and Au at (0.250, 0.250, 0.430).

***

no.,formation energy (eV/atom)
1,0.606
2,-0.021
3,-0.115
4,0.310
5,0.030
6,-0.060